[1]
# K2OsRh | Alexandria | meta-GGA SCAN | single point on PBEsol structure
data_K2OsRh
_cell_length_a 7.175
_cell_length_b 7.175
_cell_length_c 7.175
_cell_angle_alpha 90.00
_cell_angle_beta 90.00
_cell_angle_gamma 90.00
_space_group_name_H-M_alt 'F m -3 m'
_space_group_IT_number 225
_space_group_name_Hall '-F 4 2 3'
loop_
_atom_site_label
_atom_site_fract_x
_atom_site_fract_y
_atom_site_fract_z
K1 0.250 0.250 0.250
Os1 0.000 0.000 0.000
Rh1 0.000 0.000 0.500
# Formation enthalpy at 0 K, eV per atom: 1.973
# Crystal system: cubic
# ΔE to the lowest computed polymorph, eV/atom: 0.7850
# Size of the total moment, μB per cell: 13.6

---

[2]
# HgRhC2 | Alexandria | meta-GGA SCAN | single point on PBEsol structure
data_HgRhC2
_cell_length_a 5.027
_cell_length_b 5.027
_cell_length_c 8.982
_cell_angle_alpha 90.00
_cell_angle_beta 90.00
_cell_angle_gamma 90.00
_space_group_name_H-M_alt 'I -4 2 d'
_space_group_IT_number 122
_space_group_name_Hall 'I -4 2bw'
loop_
_atom_site_label
_atom_site_fract_x
_atom_site_fract_y
_atom_site_fract_z
Hg1 0.000 0.000 0.000
Rh1 0.000 0.000 0.500
C1 0.183 0.750 0.625
# Formation enthalpy at 0 K, eV per atom: 1.295
# Crystal system: tetragonal
# Size of the total moment, μB per cell: 0.0